#w
DFT (PBE) results for crystalline OsAu3 at its relaxed geometry.

- Space group: Imm2 (44)
- Magnetic moment: 0.00 μB per formula unit
- Crystal system: orthorhombic

```
OsAu3
1.0
5.683 0.008 0.001
2.728 4.986 -0.001
-3.392 -3.867 2.417
Au Os
3 1
Direct
0.983 0.988 0.995
0.096 0.750 0.346
0.508 0.512 0.995
0.580 0.250 0.330
```

#x
DFT (PBE) results for crystalline OsAu3 at its relaxed geometry.

- Space group: Pmmm (47)
- Magnetic moment: 0.55 μB per formula unit
- Crystal system: orthorhombic

```
OsAu3
1.0
2.778 0.000 0.000
0.000 4.102 0.000
0.000 0.000 5.991
Au Os
3 1
Direct
0.000 0.000 0.013
0.000 0.000 0.487
0.500 0.500 0.750
0.500 0.500 0.250
```

Short version: #x is the least stable of them.

#w
DFT (PBE) results for crystalline OsAu3 at its relaxed geometry.

- Space group: Pm-3m (221)
- Magnetic moment: 1.52 μB per formula unit
- Crystal system: cubic

```
OsAu3
1.0
-2.712 -4.137 1.133
4.183 -2.847 -0.384
0.949 0.728 4.932
Au Os
3 1
Direct
0.000 0.000 0.500
0.000 0.500 0.000
0.500 0.000 0.000
0.000 0.000 0.000
```

#x
DFT (PBE) results for crystalline OsAu3 at its relaxed geometry.

- Space group: P4/mmm (123)
- Magnetic moment: 0.00 μB per formula unit
- Crystal system: tetragonal

```
OsAu3
1.0
-0.569 -0.036 -2.762
2.245 -1.649 -0.441
-4.877 -6.935 1.096
Au Os
3 1
Direct
0.000 0.000 0.987
0.000 0.000 0.513
0.500 0.500 0.250
0.500 0.500 0.750
```

Short version: #w is the least stable of them.

#w
DFT (PBE) results for crystalline Os5Au at its relaxed geometry.

- Space group: Cm (8)
- Magnetic moment: 0.00 μB per formula unit
- Crystal system: monoclinic

```
Os5Au
1.0
-3.506 1.462 -3.614
-2.744 -1.125 -4.324
-5.635 -2.292 2.302
Os Au
5 1
Direct
0.617 0.617 0.284
0.328 0.328 0.344
0.945 0.945 0.607
0.672 0.672 0.660
0.274 0.274 0.936
0.998 0.998 0.003
```

#x
DFT (PBE) results for crystalline Os5Au at its relaxed geometry.

- Space group: F-43m (216)
- Magnetic moment: 0.00 μB per formula unit
- Crystal system: cubic

```
Os5Au
1.0
0.000 3.628 3.628
3.628 0.000 3.628
3.628 3.628 0.000
Os Au
5 1
Direct
0.874 0.375 0.375
0.750 0.750 0.750
0.375 0.874 0.375
0.375 0.375 0.375
0.375 0.375 0.874
0.000 0.000 0.000
```

Short version: #x is the least stable of them.

#w
DFT (PBE) results for crystalline Os5Au at its relaxed geometry.

- Space group: P6/mmm (191)
- Magnetic moment: 0.01 μB per formula unit
- Crystal system: hexagonal

```
Os5Au
1.0
0.983 4.772 -1.255
-4.761 -1.615 0.216
-0.208 1.206 4.424
Os Au
5 1
Direct
0.000 0.500 0.500
0.333 0.667 0.000
0.500 0.000 0.500
0.500 0.500 0.500
0.667 0.333 0.000
0.000 0.000 0.000
```

#x
DFT (PBE) results for crystalline Os5Au at its relaxed geometry.

- Space group: Amm2 (38)
- Magnetic moment: 0.00 μB per formula unit
- Crystal system: orthorhombic

```
Os5Au
1.0
1.394 -7.225 0.000
1.394 7.225 0.000
0.000 0.000 4.412
Os Au
5 1
Direct
0.222 0.778 0.500
0.327 0.673 0.000
0.560 0.440 0.500
0.672 0.328 0.000
0.887 0.113 0.500
0.999 0.001 0.000
```

Short version: #w is the least stable of them.

#w
DFT (PBE) results for crystalline OsAu5 at its relaxed geometry.

- Space group: P6/mmm (191)
- Magnetic moment: 2.84 μB per formula unit
- Crystal system: hexagonal

```
OsAu5
1.0
2.660 -4.608 0.000
2.660 4.608 0.000
0.000 0.000 4.869
Os Au
1 5
Direct
0.000 0.000 0.000
0.000 0.500 0.500
0.333 0.667 0.000
0.500 0.000 0.500
0.500 0.500 0.500
0.667 0.333 0.000
```

#x
DFT (PBE) results for crystalline OsAu5 at its relaxed geometry.

- Space group: Amm2 (38)
- Magnetic moment: 0.00 μB per formula unit
- Crystal system: orthorhombic

```
OsAu5
1.0
1.402 -7.624 0.000
1.402 7.624 0.000
0.000 0.000 4.870
Os Au
1 5
Direct
0.887 0.113 0.500
0.999 0.001 0.000
0.665 0.335 0.000
0.338 0.662 0.000
0.551 0.449 0.500
0.226 0.774 0.500
```

Short version: #w is the least stable of them.

#w
DFT (PBE) results for crystalline OsAu5 at its relaxed geometry.

- Space group: F-43m (216)
- Magnetic moment: 2.58 μB per formula unit
- Crystal system: cubic

```
OsAu5
1.0
0.000 3.835 3.835
3.835 0.000 3.835
3.835 3.835 0.000
Os Au
1 5
Direct
0.000 0.000 0.000
0.875 0.375 0.375
0.750 0.750 0.750
0.375 0.875 0.375
0.375 0.375 0.375
0.375 0.375 0.875
```

#x
DFT (PBE) results for crystalline OsAu5 at its relaxed geometry.

- Space group: Cm (8)
- Magnetic moment: 0.00 μB per formula unit
- Crystal system: monoclinic

```
OsAu5
1.0
1.403 5.582 0.001
-1.403 5.582 0.001
0.000 1.899 6.658
Os Au
1 5
Direct
0.278 0.278 0.943
0.992 0.992 0.999
0.616 0.616 0.267
0.332 0.332 0.333
0.945 0.945 0.613
0.670 0.670 0.678
```

Short version: #w is the least stable of them.